Version 1
Compound: VAs2BrF
Source: Alexandria via LeMat-Bulk
Functional: PBE+U
Structure: optimized geometry

```
data_VAs2BrF
_chemical_formula_sum 'V1 As2 Br1 F1'
_space_group_name_H-M_alt 'P 4/m m m'
_space_group_IT_number 123
_space_group_name_Hall '-P 4 2'
_cell_length_a 4.810
_cell_length_b 4.810
_cell_length_c 5.028
_cell_angle_alpha 90.00
_cell_angle_beta 90.00
_cell_angle_gamma 90.00
loop_
_atom_site_label
_atom_site_fract_x
_atom_site_fract_y
_atom_site_fract_z
V1 0.000 0.000 0.000
As1 0.000 0.500 0.000
Br1 0.000 0.000 0.500
F1 0.500 0.500 0.500
```

Version 2
Compound: VAs2BrF
Source: Alexandria via LeMat-Bulk
Functional: PBE+U
Structure: optimized geometry

```
data_VAs2BrF
_chemical_formula_sum 'V1 As2 Br1 F1'
_space_group_name_H-M_alt 'P 4/m m m'
_space_group_IT_number 123
_space_group_name_Hall '-P 4 2'
_cell_length_a 4.295
_cell_length_b 4.295
_cell_length_c 5.777
_cell_angle_alpha 90.00
_cell_angle_beta 90.00
_cell_angle_gamma 90.00
loop_
_atom_site_label
_atom_site_fract_x
_atom_site_fract_y
_atom_site_fract_z
V1 0.000 0.000 0.000
As1 0.000 0.500 0.500
Br1 0.500 0.500 0.000
F1 0.500 0.500 0.500
```

The relative energies come out as version 1 0; version 2 41, with values in meV/atom.